Density functional theory data (PBE) for a geometry-optimized RhPb3 structure.

Space group: Imm2, No. 44
Magnetization, μB/f.u.: 0.00
Formation enthalpy at 0 K, meV per atom: 43.1
Calculated total energy, eV/atom: -4.5760

The structure in extended XYZ format:
```
4
Lattice="-2.8346 -1.9533 1.1462 0.7223 -3.9000 -4.8601 3.8784 0.3096 4.3765" Properties=species:S:1:pos:R:3 pbc="T T T"
Pb -0.4490 -1.3831 2.2751
Pb 1.9954 -2.9739 -0.1335
Pb -1.1260 -2.5494 -1.3868
Rh 0.0489 -0.2640 -0.3290
```